Entry 1:
Density functional theory data (PBE-GGA) for La2ScAg after structural relaxation.

Properties
The space group is P4/mmm (123). The relative energy among the computed polymorphs comes out at 16 kJ/mol of formula units. The energy of formation from the pure elements comes out at -0.05 eV/atom. The value obtained for the total magnetization is 0.0 μB per formula unit. Its calculated volume is 28.960 Å³/atom.

Geometry as extended XYZ:
```
4
Lattice="5.638 0.043 0.000 -0.041 5.639 0.000 0.000 0.000 3.643" Properties=species:S:1:pos:R:3 pbc="T T T"
La 0.000 0.000 0.000
La 2.798 2.841 0.000
Ag -0.021 2.820 1.822
Sc 2.819 0.021 1.822
```

***

Entry 2:
Density functional theory data (PBE-GGA) for La2ScAg after structural relaxation.

Properties
The space group is Pmmm (47). The relative energy among the computed polymorphs comes out at 56 kJ/mol of formula units. The energy of formation from the pure elements comes out at 0.05 eV/atom. The value obtained for the total magnetization is 0.0 μB per formula unit. Its calculated volume is 27.460 Å³/atom.

Geometry as extended XYZ:
```
4
Lattice="-0.861 -1.327 -3.285 -3.508 -3.492 2.329 -4.021 3.736 -0.455" Properties=species:S:1:pos:R:3 pbc="T T T"
Sc -2.441 1.204 -1.870
La 0.000 0.000 0.000
La -2.184 -2.409 -0.478
Ag -3.764 0.122 0.937
```

***

Entry 3:
Density functional theory data (PBE-GGA) for LaSc2Ag after structural relaxation.

Properties
The space group is Fm-3m (225). The relative energy among the computed polymorphs comes out at 68 kJ/mol of formula units. The energy of formation from the pure elements comes out at 0.09 eV/atom. The value obtained for the total magnetization is 2.2 μB per formula unit. Its calculated volume is 24.035 Å³/atom.

Geometry as extended XYZ:
```
4
Lattice="0.103 -4.829 -1.765 0.185 -3.940 3.299 -4.100 -3.045 0.601" Properties=species:S:1:pos:R:3 pbc="T T T"
Sc -0.953 -2.953 0.534
Sc -2.858 -8.860 1.601
La -1.906 -5.907 1.067
Ag 0.000 0.000 0.000
```

***

Entry 4:
Density functional theory data (PBE-GGA) for LaScAg2 after structural relaxation.

Properties
The space group is R3m (160). The relative energy among the computed polymorphs comes out at 123 kJ/mol of formula units. The energy of formation from the pure elements comes out at 0.06 eV/atom. The value obtained for the total magnetization is 0.0 μB per formula unit. Its calculated volume is 24.479 Å³/atom.

Geometry as extended XYZ:
```
4
Lattice="10.093 -0.014 -0.008 9.532 3.318 -0.008 9.532 1.605 2.904" Properties=species:S:1:pos:R:3 pbc="T T T"
Ag 7.563 1.273 0.749
Ag 29.108 4.901 2.883
La 14.678 2.471 1.454
Sc 21.542 3.627 2.134
```